# 1
Dy4HoCo: optimized geometry, PBE.

Cell: 11.8726 3.5583 8.2578 Å, 90.00 110.22 90.00°
Positions (direct):
Dy (0.1257, 0.0000, 0.3780)
Dy (0.1700, 0.0000, 0.7956)
Dy (0.3300, 0.5000, 0.2044)
Dy (0.3743, 0.5000, 0.6220)
Dy (0.6257, 0.5000, 0.3780)
Dy (0.6700, 0.5000, 0.7956)
Dy (0.8300, 0.0000, 0.2044)
Dy (0.8743, 0.0000, 0.6220)
Ho (0.0000, 0.5000, 0.0000)
Ho (0.5000, 0.0000, 0.0000)
Co (0.0000, 0.5000, 0.5000)
Co (0.5000, 0.0000, 0.5000)

Symmetry: C2/m (12)
Calculated formation energy in eV per atom: -0.031
VASP energy in eV per cell: -60.6

# 2
Sc12Ni6Os: optimized geometry, PBE.

Cell: 7.7163 7.7163 7.7163 Å, 109.47 109.47 109.47°
Positions (direct):
Sc (0.1087, 0.2897, 0.8190)
Sc (0.1810, 0.4707, 0.2897)
Sc (0.1810, 0.8913, 0.7103)
Sc (0.2897, 0.1810, 0.4707)
Sc (0.2897, 0.8190, 0.1087)
Sc (0.4707, 0.2897, 0.1810)
Sc (0.5293, 0.7103, 0.8190)
Sc (0.7103, 0.1810, 0.8913)
Sc (0.7103, 0.8190, 0.5293)
Sc (0.8190, 0.1087, 0.2897)
Sc (0.8190, 0.5293, 0.7103)
Sc (0.8913, 0.7103, 0.1810)
Ni (0.1341, 0.5000, 0.6341)
Ni (0.3659, 0.8659, 0.5000)
Ni (0.5000, 0.3659, 0.8659)
Ni (0.5000, 0.6341, 0.1341)
Ni (0.6341, 0.1341, 0.5000)
Ni (0.8659, 0.5000, 0.3659)
Os (0.0000, 0.0000, 0.0000)

Symmetry: Im-3 (204)
Calculated formation energy in eV per atom: -0.330
VASP energy in eV per cell: -128.2

# 3
Co5Rh: optimized geometry, PBE.

Cell: 2.5551 2.5551 12.3304 Å, 90.00 90.00 120.00°
Positions (direct):
Co (0.0000, 0.0000, 0.0000)
Co (0.3333, 0.6667, 0.3264)
Co (0.3333, 0.6667, 0.8400)
Co (0.6667, 0.3333, 0.1600)
Co (0.6667, 0.3333, 0.6736)
Rh (0.0000, 0.0000, 0.5000)

Symmetry: P-3m1 (164)
Calculated formation energy in eV per atom: 0.147
VASP energy in eV per cell: -42.0

# 4
TiTc2Sn: optimized geometry, PBE.

Cell: 2.7459 4.8313 10.8276 Å, 90.00 90.00 90.00°
Positions (direct):
Ti (0.0000, 0.0000, 0.0000)
Ti (0.5000, 0.5000, 0.5000)
Tc (0.0000, 0.0000, 0.2376)
Tc (0.0000, 0.0000, 0.7624)
Tc (0.5000, 0.5000, 0.2624)
Tc (0.5000, 0.5000, 0.7376)
Sn (0.0000, 0.0000, 0.5000)
Sn (0.5000, 0.5000, 0.0000)

Symmetry: Immm (71)
Calculated formation energy in eV per atom: 0.619
VASP energy in eV per cell: -60.3